[1]
! LaDy2Ag2Sn2 | Alexandria via LeMat-Bulk | PBE | optimized geometry; values from VASP
! Space-group type ... R-3m
! Energy of formation from the pure elements ... -3.34 eV/f.u.
! N(E_F) ... 3.3 states/eV/cell
&SYSTEM
  ibrav = 0, nat = 7, ntyp = 4
/
ATOMIC_SPECIES
La 138.91 La.upf
Dy 162.50 Dy.upf
Ag 107.87 Ag.upf
Sn 118.71 Sn.upf
ATOMIC_POSITIONS angstrom
La 0.000 0.000 0.000
Dy 0.000 0.000 3.575
Dy 0.000 0.000 22.911
Ag 0.000 0.000 11.658
Ag 0.000 0.000 14.828
Sn 0.000 0.000 6.928
Sn 0.000 0.000 19.558
CELL_PARAMETERS angstrom
2.452 1.416 8.829
-2.452 1.416 8.829
0.000 -2.831 8.829


[2]
! RbScPb2F8 | Alexandria via LeMat-Bulk | PBE | optimized geometry; values from VASP
! Space-group type ... P-1
! ΔE_f (raw) ... -35.34 eV per formula unit
! N(E_F) ... 0.0 states/eV/cell
&SYSTEM
  ibrav = 0, nat = 12, ntyp = 4
/
ATOMIC_SPECIES
Rb 85.47 Rb.upf
Sc 44.96 Sc.upf
Pb 207.20 Pb.upf
F 19.00 F.upf
ATOMIC_POSITIONS angstrom
Rb 0.000 0.000 0.000
Sc -0.332 -0.147 3.995
Pb 1.256 2.652 5.956
Pb 2.033 2.770 2.034
F -0.629 4.207 2.471
F -0.508 4.299 5.506
F 1.341 1.028 3.922
F 1.656 4.146 0.062
F 1.634 1.276 7.928
F 1.948 4.394 4.068
F 3.797 1.123 2.484
F 3.918 1.215 5.519
CELL_PARAMETERS angstrom
4.698 0.000 0.000
-0.746 5.716 0.000
-0.663 -0.294 7.990


Q: Which of these has the highest N(E_F)?
A: LaDy2Ag2Sn2